Record 1
The following is a DFT calculation (PBE) of ZrTaTl2 after structural relaxation.

**Total magnetization**: 0.0 μB/cell
**Energy of formation from the pure elements**: 0.473 eV/atom
**Excess energy over the best structure of this formula in the dataset**: 0.771 eV/f.u.

a = 7.0257 Å, b = 7.0257 Å, c = 7.0257 Å
α = 90.00°, β = 90.00°, γ = 90.00°
Space group Fm-3m (No. 225)
One atom of each set of equivalent atoms:
Zr (0.0000, 0.0000, 0.0000) [4 per cell]
Ta (0.0000, 0.0000, 0.5000) [4 per cell]
Tl (0.2500, 0.2500, 0.2500) [8 per cell]

Record 2
The following is a DFT calculation (PBE) of ZrTa2Tl after structural relaxation.

**Total magnetization**: 0.0 μB/cell
**Energy of formation from the pure elements**: 0.495 eV/atom
**Excess energy over the best structure of this formula in the dataset**: 1.580 eV/f.u.

a = 6.8520 Å, b = 6.8520 Å, c = 6.8520 Å
α = 90.00°, β = 90.00°, γ = 90.00°
Space group Fm-3m (No. 225)
One atom of each set of equivalent atoms:
Zr (0.0000, 0.0000, 0.0000) [4 per cell]
Ta (0.2500, 0.2500, 0.2500) [8 per cell]
Tl (0.0000, 0.0000, 0.5000) [4 per cell]